A geometry-optimized SmAgRhPb structure. Source: Alexandria via LeMat-Bulk, functional PBE-GGA.

a = 4.958 Å, b = 4.958 Å, c = 4.958 Å
α = 60.00°, β = 60.00°, γ = 60.00°
Fractional positions:
Pb  0.000  0.000  0.000
Rh  0.750  0.750  0.750
Ag  0.250  0.250  0.250
Sm  0.500  0.500  0.500

Summary:
ρ ... 10.951 g/cm³
Uncorrected energy ... -4.976 eV/atom
N(E_F) ... 2.73 states/eV per cell
Formation enthalpy at 0 K ... -30.7 kJ per mole of atoms